A plane-wave DFT calculation with PBE was carried out for NaNdEuAl after structural relaxation.

Results
calculated formation energy	-0.021	eV/atom
volume	29.69	Å³/atom
SG	F-43m, No. 216

```
NaNdEuAl
1.0
5.518 0.000 0.000
2.759 4.778 0.000
2.759 1.593 4.505
Nd Na Al Eu
1 1 1 1
Direct
0.250 0.250 0.250
0.000 0.000 0.000
0.500 0.500 0.500
0.750 0.750 0.750
```